No. 1
DFT (PBE) results for an optimized crystal structure of Cd4Cu3.

The structure in POSCAR format:
```
Cd4Cu3
1.0
-2.2412 4.7201 -0.7099
-2.5997 -0.5493 4.5549
4.0032 2.2859 2.5605
Cu Cd
3 4
Cartesian
2.0016 1.1429 1.2802
-1.1206 2.3601 -0.3550
-1.2998 -0.2747 2.2774
0.0000 0.0000 0.0000
-2.4204 2.0854 1.9225
0.8810 3.5030 0.9253
0.7018 0.8683 3.5577
```

Properties
As for the formation energy: 0.296 eV/atom. For the energy above the most stable polymorph in this dataset, the calculation gives 249.0 meV/atom.



No. 2
DFT (PBE) results for an optimized crystal structure of SrPrGa2Pd2.

The structure in POSCAR format:
```
SrPrGa2Pd2
1.0
4.5155 0.0000 0.0000
-2.2577 3.9105 0.0000
0.0000 0.0000 7.9885
Pr Sr Pd Ga
1 1 2 2
Cartesian
0.0000 0.0000 3.9942
0.0000 0.0000 0.0000
0.0000 2.6070 5.7878
2.2578 1.3035 2.2007
2.2578 1.3035 5.8363
0.0000 2.6070 2.1522
```

Properties
As for the formation energy: -0.735 eV/atom.



No. 3
DFT (PBE) results for an optimized crystal structure of Ac3Cu2SbO9.

The structure in POSCAR format:
```
Ac3Cu2SbO9
1.0
-3.8962 -1.3892 -3.9457
4.7773 -3.0970 0.5141
-3.2249 -4.2005 4.6634
Ac O Sb Cu
3 9 1 2
Cartesian
0.0000 0.0000 0.0000
-0.3804 -5.4798 2.3049
-1.9635 -3.2069 -1.0731
0.3005 -4.9269 -0.6904
2.3886 -1.5485 0.2570
-2.6443 -3.7599 1.9223
0.4405 -2.2431 -1.7158
-2.1915 -6.0656 0.1585
-4.6468 -4.4739 -0.1057
2.3030 -4.2129 1.3375
-1.9481 -0.6946 -1.9728
-0.1524 -2.6211 1.0733
-1.6125 -2.1002 2.3317
1.3579 -3.2158 -0.2086
-3.7017 -5.4709 1.4405
```

Properties
The calculation puts the formation energy from raw total energies at -2.18 eV per atom.



No. 4
DFT (PBE) results for an optimized crystal structure of BaCa2Cu2Ge2.

The structure in POSCAR format:
```
BaCa2Cu2Ge2
1.0
-1.8265 3.1379 -2.6902
0.5497 -0.2648 -4.4774
-8.7586 -4.4936 -3.0899
Ca Ge Cu Ba
2 2 2 1
Cartesian
-5.5714 -2.4086 -2.8219
-4.4640 0.7881 -7.4356
-7.5687 -1.2430 -7.6966
-2.4667 -0.3775 -2.5608
-2.8409 0.6137 -4.9457
-7.1945 -2.2343 -5.3118
0.0000 0.0000 0.0000
```

Properties
As for the formation energy: -0.411 eV/atom.



No. 5
DFT (PBE) results for an optimized crystal structure of MnTlSi2.

The structure in POSCAR format:
```
MnTlSi2
1.0
0.0000 3.2143 3.2143
3.2143 0.0000 3.2143
3.2143 3.2143 0.0000
Tl Mn Si
1 1 2
Cartesian
3.2143 3.2143 3.2143
0.0000 0.0000 0.0000
1.6071 1.6071 1.6071
4.8214 4.8214 4.8214
```

Properties
The calculation puts the formation energy from raw total energies at 0.97 eV per atom. For the energy above the most stable polymorph in this dataset, the calculation gives 839.2 meV/atom.



No. 6
DFT (PBE) results for an optimized crystal structure of Tb2Pm2Zn3.

The structure in POSCAR format:
```
Tb2Pm2Zn3
1.0
-5.9424 4.8846 -1.3277
-2.6231 -6.3356 3.7300
5.3709 3.5710 4.3972
Zn Pm Tb
6 4 4
Cartesian
-2.5040 5.0027 2.5483
-3.1357 -3.8497 3.4039
-4.0559 1.0164 3.0621
1.5537 3.7319 3.2433
-0.9764 1.3450 5.7859
-0.4656 -0.8864 2.3550
-1.2021 2.0147 2.8377
-3.4526 2.7617 0.3607
-6.3585 0.9807 0.7374
1.8761 1.2474 1.5360
4.6139 3.0677 3.7775
0.9236 -1.0835 5.0219
-3.4453 -1.4139 1.3883
-2.5392 -1.2149 4.7391
```

Properties
As for the formation energy: -0.139 eV/atom.



No. 7
DFT (PBE) results for an optimized crystal structure of CuSe2Cl.

The structure in POSCAR format:
```
CuSe2Cl
1.0
4.1786 -0.0493 -0.0227
2.6149 3.2597 -0.0227
0.4947 0.2338 6.9279
Cu Cl Se
1 1 2
Cartesian
1.8221 0.8610 1.7206
5.4662 2.5831 5.1619
6.0008 2.8357 0.4642
4.4369 2.0967 2.9317
```

Properties
The calculation puts the formation energy from raw total energies at -0.06 eV per atom. For the energy above the most stable polymorph in this dataset, the calculation gives 234.8 meV/atom.



No. 8
DFT (PBE) results for an optimized crystal structure of Te4Mo3WS4.

The structure in POSCAR format:
```
Te4Mo3WS4
1.0
3.3611 0.0000 0.0000
-1.6805 2.9108 0.0000
0.0000 0.0000 37.9760
Te Mo W S
4 3 1 4
Cartesian
0.0000 1.9405 12.5921
0.0000 1.9405 8.7841
0.0000 1.9405 26.9420
0.0000 1.9405 23.1590
0.0000 1.9405 3.4823
0.0000 1.9405 17.8535
1.6805 0.9703 25.0513
1.6805 0.9703 10.6882
1.6805 0.9703 16.3429
1.6805 0.9703 19.3639
1.6805 0.9703 4.9941
1.6805 0.9703 1.9709
```

Properties
The calculation puts the formation energy from raw total energies at -0.45 eV per atom. For the energy above the most stable polymorph in this dataset, the calculation gives 37.4 meV/atom.



No. 9
DFT (PBE) results for an optimized crystal structure of BeCd2As.

The structure in POSCAR format:
```
BeCd2As
1.0
-0.9412 -1.9355 1.6996
0.5520 -3.6259 -3.8234
4.9502 -0.9710 1.6356
Cd As Be
2 1 1
Cartesian
-0.1946 -2.7807 -1.0619
0.0000 0.0000 0.0000
2.0045 -1.4532 1.6676
2.7511 -2.2984 -1.0939
```

Properties
As for the formation energy: 0.456 eV/atom. For the energy above the most stable polymorph in this dataset, the calculation gives 313.6 meV/atom.



No. 10
DFT (PBE) results for an optimized crystal structure of Hf2CoH8.

The structure in POSCAR format:
```
Hf2CoH8
1.0
3.1960 0.0000 0.0000
0.0000 4.0575 -0.1141
-1.5980 -1.8609 5.8209
Hf H Co
2 8 1
Cartesian
0.0000 2.0774 1.6530
1.5980 0.1192 4.0538
0.0000 -0.9911 4.4211
1.5980 3.1877 1.2857
1.5980 2.1158 3.0332
0.0000 3.1237 -0.0877
0.0000 0.0808 2.6736
1.5980 0.9564 1.3430
1.5980 -0.9271 5.7945
0.0000 1.2402 4.3638
1.5980 0.0000 0.0000
```

Properties
As for the total energy: -0.187 hartree per atom.



No. 11
DFT (PBE) results for an optimized crystal structure of PrTlPt10.

The structure in POSCAR format:
```
PrTlPt10
1.0
4.4231 0.0000 0.0000
0.0000 5.4568 0.0000
0.0000 0.0000 9.3570
Tl Pt Pr
1 10 1
Cartesian
0.0000 2.7284 4.6785
2.2116 2.7284 0.0000
0.0000 2.7284 1.6247
0.0000 2.7284 7.7323
2.2116 1.3458 7.0610
2.2116 1.3458 2.2960
2.2116 4.1110 2.2960
2.2116 4.1110 7.0610
0.0000 0.0000 6.1958
2.2116 0.0000 4.6785
0.0000 0.0000 3.1611
0.0000 0.0000 0.0000
```

Properties
As for the formation energy: -0.362 eV/atom.



No. 12
DFT (PBE) results for an optimized crystal structure of CdPSe3.

The structure in POSCAR format:
```
CdPSe3
1.0
-3.4496 -3.2443 5.3064
-3.2517 -3.6605 -4.3519
8.9042 -8.1233 0.8219
Se Cd P
12 4 4
Cartesian
-3.5821 -3.5265 3.2483
5.7850 -11.5016 -1.4718
-3.6341 -6.1534 0.7778
-0.3335 -9.0211 0.8335
2.5363 -6.0070 0.9430
5.8369 -8.8747 0.9987
2.2651 -8.5530 3.6397
-0.0622 -6.4751 -1.8632
-0.6586 -4.1092 0.8680
2.8614 -10.9189 0.9085
-0.9964 -5.9971 4.2603
3.1992 -9.0309 -2.4838
4.2082 -7.3603 -0.6725
-2.8043 -6.0078 -1.8218
-2.0054 -7.6678 2.4490
5.0072 -9.0203 3.5983
-1.1065 -11.0300 1.2099
5.0329 -10.9270 0.4978
3.3093 -3.9981 0.5666
-2.8301 -4.1011 1.2787
```

Properties
The calculation puts the formation energy from raw total energies at -0.28 eV per atom.



> Number 1 is which compound?

Cd4Cu3



Repeat the fifth record exactly.
DFT (PBE) results for an optimized crystal structure of MnTlSi2.

The structure in POSCAR format:
```
MnTlSi2
1.0
0.0000 3.2143 3.2143
3.2143 0.0000 3.2143
3.2143 3.2143 0.0000
Tl Mn Si
1 1 2
Cartesian
3.2143 3.2143 3.2143
0.0000 0.0000 0.0000
1.6071 1.6071 1.6071
4.8214 4.8214 4.8214
```

Properties
The calculation puts the formation energy from raw total energies at 0.97 eV per atom. For the energy above the most stable polymorph in this dataset, the calculation gives 839.2 meV/atom.